No. 1
# BaSrCd2Ni

BaSrCd2Ni after structural relaxation (GGA-PBE, the Alexandria database).

Results
E, eV/cell: -11.46

abc: 5.3327 5.3327 5.4565
angles: 90.00 90.00 90.00
Last column: nearest neighbours and their distance in Å.
Element x y z (fractional)
Sr  0.5000  0.5000  0.5000  4 Ba 3.77, 8 Cd 3.81
Ni  0.0000  0.0000  0.0000  4 Cd 2.67, 2 Ba 2.73
Ba  0.0000  0.0000  0.5000  2 Ni 2.73
Cd  0.0000  0.5000  0.0000  2 Ni 2.67
Cd  0.5000  0.0000  0.0000  2 Ni 2.67


No. 2
# TbNdSm4

TbNdSm4 after structural relaxation (GGA-PBE, the Alexandria database).

Results
E, eV/cell: -27.63

abc: 6.3934 6.3934 6.0622
angles: 89.88 89.88 55.01
Last column: nearest neighbours and their distance in Å.
Element x y z (fractional)
Tb  0.0000  0.0000  0.0000  8 Sm 3.39-3.69
Nd  0.5000  0.5000  0.5000  8 Sm 3.39-3.71
Sm  0.3248  0.3248  0.9544  1 Nd 3.39, 4 Sm 3.45-3.49, 3 Tb 3.57-3.69
Sm  0.6752  0.6752  0.0456  1 Nd 3.39, 4 Sm 3.45-3.49, 3 Tb 3.57-3.69
Sm  0.8258  0.8258  0.5461  1 Tb 3.39, 4 Sm 3.46-3.49, 3 Nd 3.56-3.71
Sm  0.1742  0.1742  0.4539  1 Tb 3.39, 4 Sm 3.46-3.49, 3 Nd 3.56-3.71


No. 3
# PrOs4

PrOs4 after structural relaxation (GGA-PBE, the Alexandria database).

Results
E, eV/cell: -30.60

abc: 4.8550 4.8550 4.8550
angles: 90.00 90.00 90.00
Last column: nearest neighbours and their distance in Å.
Element x y z (fractional)
Pr  0.5000  0.5000  0.5000  6 Os 2.43
Os  0.0000  0.0000  0.0000  12 Os 3.43
Os  0.5000  0.0000  0.5000  2 Pr 2.43
Os  0.0000  0.5000  0.5000  2 Pr 2.43
Os  0.5000  0.5000  0.0000  2 Pr 2.43


No. 4
# Sc4Ti

Sc4Ti after structural relaxation (GGA-PBE, the Alexandria database).

Results
E, eV/cell: -65.23

abc: 6.2681 5.7853 8.4303
angles: 63.66 68.18 57.20
Last column: nearest neighbours and their distance in Å.
Element x y z (fractional)
Sc  0.8011  0.6028  0.7949  9 Sc 3.05-3.41, 4 Ti 3.27
Sc  0.3012  0.6028  0.7948  9 Sc 3.05-3.41, 4 Ti 3.27
Sc  0.8471  0.1943  0.6116  1 Ti 2.89, 8 Sc 2.94-3.20
Sc  0.3470  0.1943  0.6116  1 Ti 2.89, 8 Sc 2.94-3.20
Sc  0.6530  0.8057  0.3884  1 Ti 2.89, 8 Sc 2.94-3.20
Sc  0.1529  0.8057  0.3884  1 Ti 2.89, 8 Sc 2.94-3.20
Sc  0.6988  0.3972  0.2052  9 Sc 3.05-3.41, 4 Ti 3.27
Sc  0.1989  0.3972  0.2051  9 Sc 3.05-3.41, 4 Ti 3.27
Ti  0.7501  0.0000  0.0000  2 Sc 2.89, 2 Ti 3.13-3.14
Ti  0.2499  0.0000  0.0000  2 Sc 2.89, 2 Ti 3.13-3.14


No. 5
# ReTc2W

ReTc2W after structural relaxation (GGA-PBE, the Alexandria database).

Results
E, eV/cell: -45.38

abc: 4.4122 4.4122 4.4122
angles: 60.00 60.00 60.00
Last column: nearest neighbours and their distance in Å.
Element x y z (fractional)
Re  0.5000  0.5000  0.5000  4 W 2.70, 4 Tc 2.70
Tc  0.0000  0.0000  0.0000  4 W 2.70, 4 Tc 2.70
Tc  0.2500  0.2500  0.2500  4 Tc 2.70, 4 Re 2.70
W  0.7500  0.7500  0.7500  4 Re 2.70, 4 Tc 2.70


No. 6
# LiVCl2

LiVCl2 after structural relaxation (GGA-PBE, the Alexandria database).

Results
Formation energy (no corrections), eV/atom: -0.80

abc: 5.7352 5.7352 6.7222
angles: 64.75 64.75 90.00
Last column: nearest neighbours and their distance in Å.
Element x y z (fractional)
V  0.0000  0.0000  0.0000  4 Cl 2.50
V  0.7500  0.2500  0.5000  4 Cl 2.50
Li  0.5000  0.5000  0.0000  4 Cl 2.37
Li  0.2500  0.7500  0.5000  4 Cl 2.37
Cl  0.6059  0.1250  0.2500  2 Li 2.37, 2 V 2.50
Cl  0.1441  0.6250  0.2500  2 Li 2.37, 2 V 2.50
Cl  0.3750  0.3941  0.7500  2 Li 2.37, 2 V 2.50
Cl  0.8750  0.8559  0.7500  2 Li 2.37, 2 V 2.50


No. 7
# NaPuTlSn

NaPuTlSn after structural relaxation (GGA-PBE, the Alexandria database).

Results
E, eV/cell: -22.60

abc: 5.3693 5.3693 5.3693
angles: 60.00 60.00 60.00
Last column: nearest neighbours and their distance in Å.
Element x y z (fractional)
Na  0.5000  0.5000  0.5000  4 Sn 3.29, 4 Tl 3.29
Tl  0.7500  0.7500  0.7500  4 Pu 3.29, 4 Na 3.29
Sn  0.2500  0.2500  0.2500  4 Na 3.29, 4 Pu 3.29
Pu  0.0000  0.0000  0.0000  4 Tl 3.29, 4 Sn 3.29